1.
DFT (meta-GGA SCAN) results for a PBEsol-optimized structure of Ta2CoN.

Magnetic moment: 0.0000 μB/atom
Uncorrected formation energy: -0.15 eV/atom
VASP energy: -320.739 eV/cell

a b c (Å): 5.028 5.028 6.075
angles (deg): 114.45 114.45 90.00
Element x y z (fractional)
Co: 0.000 0.000 0.000
Co: 0.250 0.750 0.500
Ta: 0.125 0.180 0.750
Ta: 0.625 0.570 0.750
Ta: 0.430 0.875 0.250
Ta: 0.820 0.375 0.250
N: 0.500 0.500 0.000
N: 0.750 0.250 0.500

***

2.
DFT (meta-GGA SCAN) results for a PBEsol-optimized structure of CoTcN2.

Magnetic moment: 0.0000 μB/atom
Uncorrected formation energy: -0.04 eV/atom
VASP energy: -142.193 eV/cell

a b c (Å): 4.371 4.371 5.335
angles (deg): 114.19 114.19 90.00
Element x y z (fractional)
N: 0.861 0.375 0.250
N: 0.389 0.875 0.250
N: 0.125 0.139 0.750
N: 0.625 0.611 0.750
Co: 0.750 0.250 0.500
Co: 0.500 0.500 0.000
Tc: 0.000 0.000 0.000
Tc: 0.250 0.750 0.500

***

- Which value of uncorrected formation energy does entry 2 give?
  -0.04 eV/atom